1.
A relaxed structure of Dy6Ho2ZrSc3, computed with PBE.

a b c (Å): 5.966 5.966 11.302
angles (deg): 95.03 95.03 119.93
Positions (direct):
Dy 0.915 0.587 0.746
Dy 0.757 0.757 0.253
Dy 0.085 0.413 0.254
Dy 0.587 0.915 0.746
Dy 0.243 0.243 0.747
Dy 0.413 0.085 0.254
Ho 0.333 0.667 0.000
Ho 0.667 0.333 0.000
Zr 0.000 0.000 0.000
Sc 0.167 0.833 0.500
Sc 0.833 0.167 0.500
Sc 0.500 0.500 0.500

## Properties
**Energy**: -5.30 eV/atom
**Energy of formation**: 0.76 eV per formula unit
**Symmetry**: C2/m, No. 12
**DOS at the Fermi energy**: 1.41 states/eV/atom


2.
A relaxed structure of Dy6Ho3ZrSc2, computed with PBE.

a b c (Å): 5.990 5.990 11.432
angles (deg): 95.00 95.00 119.92
Positions (direct):
Dy 0.920 0.590 0.760
Dy 0.750 0.750 0.239
Dy 0.080 0.410 0.240
Dy 0.590 0.920 0.760
Dy 0.250 0.250 0.761
Dy 0.410 0.080 0.240
Ho 0.167 0.833 0.500
Ho 0.833 0.167 0.500
Ho 0.500 0.500 0.500
Zr 0.000 0.000 0.000
Sc 0.333 0.667 0.000
Sc 0.667 0.333 0.000

## Properties
**Energy**: -5.16 eV/atom
**Energy of formation**: 0.65 eV per formula unit
**Symmetry**: C2/m, No. 12
**DOS at the Fermi energy**: 1.34 states/eV/atom


Among the records above, which one has the lowest energy of formation? Dy6Ho3ZrSc2


What is the energy in the first record? -5.30 eV/atom